MgHg2Rh | PBE-GGA | relaxed

Cell: 3.9240 3.2002 6.7637 Å, 61.32 90.00 90.00°
Atoms (fractional coordinates):
1 Hg 0.0000 0.0079 0.9933
2 Hg 0.0000 0.4921 0.5067
3 Mg 0.5000 0.2500 0.2500
4 Rh 0.5000 0.7500 0.7500

Values from the calculation:
DOS at the Fermi energy: 0.897 states/eV per cell
Space-group type: P2/m
Calculated total energy: -9.82 eV/cell
ΔE_f: -0.068 eV per atom
V: 18.63 Å³ per atom